Entry 1:
An optimized crystal structure of Pr2Al5Zn3. Source: Alexandria, functional GGA-PBE.

Calculated values
E_form (meV/atom): -382
Fermi-level density of states (states/eV per atom): 0.393
Distance to the lowest polymorph of the same formula (eV/atom): 0.0383
Magnetization (μB/f.u.): 0.0

Cell: 4.2666 4.2666 10.9876 Å, 90.00 90.00 90.00°
Closest atoms and distances in Å follow each position.
Space group P-4m2 (No. 115)
Asymmetric unit:
Pr (0.0000, 0.5000, 0.2504) (multiplicity 2)  10 Al 3.23-3.48, 6 Zn 3.29-3.47
Al (0.0000, 0.0000, 0.0000) (multiplicity 1)  4 Al 2.66
Al (0.0000, 0.0000, 0.5000) (multiplicity 1)  4 Zn 2.57
Al (0.0000, 0.5000, 0.8546) (multiplicity 2)  1 Zn 2.47, 4 Al 2.66
Al (0.5000, 0.5000, 0.0000) (multiplicity 1)  4 Al 2.66
Zn (0.0000, 0.5000, 0.6301) (multiplicity 2)  3 Al 2.47-2.57, 2 Zn 2.57
Zn (0.5000, 0.5000, 0.5000) (multiplicity 1)  4 Zn 2.57

Entry 2:
An optimized crystal structure of KTmAu. Source: Alexandria, functional GGA-PBE.

Calculated values
E_form (meV/atom): -383
Fermi-level density of states (states/eV per atom): 0.876
Magnetization (μB/f.u.): 0.0

Cell: 4.9558 4.9558 8.4288 Å, 90.00 90.00 90.00°
Closest atoms and distances in Å follow each position.
Space group P4/nmm (No. 129, origin choice 2)
Asymmetric unit:
K (0.2500, 0.2500, 0.1202) (multiplicity 2)  5 Au 3.73-3.90, 4 K 4.05, 4 Tm 4.05
Tm (0.2500, 0.7500, 0.5000) (multiplicity 2)  4 Au 2.89
Au (0.2500, 0.2500, 0.6775) (multiplicity 2)  4 Tm 2.89

Entry 3:
An optimized crystal structure of MgTaSi2Se. Source: Alexandria, functional GGA-PBE.

Calculated values
Formation energy from raw total energies (eV/atom): 1.393
Fermi-level density of states (states/eV per atom): 1.340
Magnetization (μB/f.u.): 0.0

Cell: 4.7243 4.7243 4.8046 Å, 90.00 90.00 90.00°
Closest atoms and distances in Å follow each position.
Space group P4/mmm (No. 123)
Asymmetric unit:
Mg (0.0000, 0.0000, 0.0000) (multiplicity 1)  4 Si 2.36, 2 Se 2.40
Ta (0.5000, 0.5000, 0.5000) (multiplicity 1)  4 Se 3.34, 8 Si 3.37
Si (0.0000, 0.5000, 0.0000) (multiplicity 2)  2 Mg 2.36
Se (0.0000, 0.0000, 0.5000) (multiplicity 1)  2 Mg 2.40

Entry 4:
An optimized crystal structure of NaHgAu. Source: Alexandria, functional GGA-PBE.

Calculated values
E_form (meV/atom): -260
Fermi-level density of states (states/eV per atom): 0.185
Distance to the lowest polymorph of the same formula (eV/atom): 0.0000
Magnetization (μB/f.u.): 0.0

Cell: 8.6305 13.1779 7.5653 Å, 90.00 90.00 90.00°
Closest atoms and distances in Å follow each position.
Space group Ima2 (No. 46)
Asymmetric unit:
Na (0.2500, 0.9998, 0.0000) (multiplicity 4)  5 Au 3.09-3.16, 2 Hg 3.31
Na (0.2500, 0.2053, 0.3861) (multiplicity 4)  5 Au 3.12-3.15, 6 Hg 3.32-3.48
Na (0.2500, 0.7048, 0.8866) (multiplicity 4)  5 Au 3.12-3.15, 6 Hg 3.32-3.48
Hg (0.0000, 0.0000, 0.3315) (multiplicity 4)  4 Au 2.85-2.92
Hg (0.9996, 0.1298, 0.7190) (multiplicity 8)  4 Au 2.85-2.92
Au (0.0001, 0.1666, 0.0906) (multiplicity 8)  3 Hg 2.85, 6 Na 3.15-3.16
Au (0.2500, 0.0004, 0.5915) (multiplicity 4)  6 Hg 2.92, 3 Na 3.09-3.12

Entry 5:
An optimized crystal structure of Er2MnSe4. Source: Alexandria, functional GGA-PBE.

Calculated values
Formation energy from raw total energies (eV/atom): -1.456
Magnetization (μB/f.u.): 5.0

Cell: 11.5361 11.5361 11.5361 Å, 90.00 90.00 90.00°
Closest atoms and distances in Å follow each position.
Space group Fd-3m (No. 227, origin choice 2)
Asymmetric unit:
Er (0.0000, 0.0000, 0.0000) (multiplicity 16)  6 Se 2.85
Mn (0.1250, 0.1250, 0.6250) (multiplicity 8)  4 Se 2.56
Se (0.0033, 0.0033, 0.2467) (multiplicity 32)  1 Mn 2.56, 3 Er 2.85

Entry 6:
An optimized crystal structure of In3Ga9Au2. Source: Alexandria, functional GGA-PBE.

Calculated values
E_form (meV/atom): -43
Fermi-level density of states (states/eV per atom): 0.370
Magnetization (μB/f.u.): 0.0

Cell: 4.3335 10.8750 12.3138 Å, 90.00 90.00 90.00°
Closest atoms and distances in Å follow each position.
Space group Immm (No. 71)
Asymmetric unit:
In (0.0000, 0.0000, 0.0000) (multiplicity 2)  12 Ga 3.26-3.48
In (0.0000, 0.0000, 0.3224) (multiplicity 4)  10 Ga 3.08-3.27, 2 Au 3.21
Ga (0.0000, 0.2799, 0.1363) (multiplicity 8)  4 Ga 2.66-2.92, 2 Au 2.74
Ga (0.0000, 0.3789, 0.3337) (multiplicity 8)  4 Ga 2.63-2.80, 1 Au 2.71
Ga (0.0000, 0.5000, 0.0000) (multiplicity 2)  4 Ga 2.92, 4 In 3.08, 4 Au 3.19
Au (0.0000, 0.2156, 0.5000) (multiplicity 4)  6 Ga 2.71-2.74

Entry 7:
An optimized crystal structure of BeZnNF2. Source: Alexandria, functional GGA-PBE.

Calculated values
Formation energy from raw total energies (eV/atom): -1.152
Fermi-level density of states (states/eV per atom): 0.245
Distance to the lowest polymorph of the same formula (eV/atom): 0.0000
Magnetization (μB/f.u.): 0.8

Cell: 3.1405 3.1405 5.5576 Å, 90.00 90.00 90.00°
Closest atoms and distances in Å follow each position.
Space group P4/mmm (No. 123)
Asymmetric unit:
Be (0.0000, 0.0000, 0.0000) (multiplicity 1)  4 F 1.57
Zn (0.5000, 0.5000, 0.5000) (multiplicity 1)  4 N 2.22
N (0.0000, 0.0000, 0.5000) (multiplicity 1)  4 Zn 2.22
F (0.0000, 0.5000, 0.0000) (multiplicity 2)  2 Be 1.57

Entry 8:
An optimized crystal structure of Sr4AsSeI2. Source: Alexandria, functional GGA-PBE.

Calculated values
Formation energy from raw total energies (eV/atom): -1.530
Fermi-level density of states (states/eV per atom): 0.379
Magnetization (μB/f.u.): 0.0

Cell: 7.9158 4.5799 8.1860 Å, 90.00 108.82 90.00°
Closest atoms and distances in Å follow each position.
Space group P2/m (No. 10)
Asymmetric unit:
Sr (0.2292, 0.0000, 0.2058) (multiplicity 2)  2 As 3.07, 1 Se 3.12
Sr (0.2578, 0.5000, 0.7921) (multiplicity 2)  1 As 3.05, 2 Se 3.12
As (0.0000, 0.5000, 0.0000) (multiplicity 1)  6 Sr 3.05-3.07
Se (0.5000, 0.0000, 0.0000) (multiplicity 1)  6 Sr 3.12
I (0.0000, 0.0000, 0.5000) (multiplicity 1)  6 Sr 3.45-3.46
I (0.5000, 0.5000, 0.5000) (multiplicity 1)  6 Sr 3.51

Entry 9:
An optimized crystal structure of La5Dy4Ho2. Source: Alexandria, functional GGA-PBE.

Calculated values
E_form (meV/atom): 187
Fermi-level density of states (states/eV per atom): 1.663
Distance to the lowest polymorph of the same formula (eV/atom): 0.1080
Magnetization (μB/f.u.): 0.0

Cell: 3.5467 9.2874 23.7614 Å, 90.00 90.00 90.00°
Closest atoms and distances in Å follow each position.
Space group Immm (No. 71)
Asymmetric unit:
La (0.0000, 0.0000, 0.0000) (multiplicity 2)  4 Dy 3.42, 2 La 3.55
La (0.0000, 0.2974, 0.3521) (multiplicity 8)  3 Ho 3.45-3.82, 3 Dy 3.50-3.66, 3 La 3.55-3.76
Dy (0.0000, 0.1856, 0.5000) (multiplicity 4)  7 Dy 3.37-3.55, 4 La 3.42-3.66
Dy (0.0000, 0.5000, 0.0965) (multiplicity 4)  1 Ho 3.18, 6 Dy 3.37-3.55, 4 La 3.50
Ho (0.0000, 0.5000, 0.2303) (multiplicity 4)  1 Dy 3.18, 2 La 3.45, 2 Ho 3.55

Entry 10:
An optimized crystal structure of NaSc5Se6. Source: Alexandria, functional GGA-PBE.

Calculated values
Formation energy from raw total energies (eV/atom): -1.589
Fermi-level density of states (states/eV per atom): 0.548
Magnetization (μB/f.u.): 0.0

Cell: 6.7623 11.6914 6.7840 Å, 90.00 109.51 90.00°
Closest atoms and distances in Å follow each position.
Space group C2/m (No. 12)
Asymmetric unit:
Na (0.0000, 0.0000, 0.0000) (multiplicity 2)  6 Se 2.79-2.82
Sc (0.0000, 0.1604, 0.5000) (multiplicity 4)  6 Se 2.73-2.76
Sc (0.0000, 0.3348, 0.0000) (multiplicity 4)  6 Se 2.73-2.77
Sc (0.0000, 0.5000, 0.5000) (multiplicity 2)  6 Se 2.74-2.76
Se (0.2445, 0.5000, 0.2494) (multiplicity 4)  5 Sc 2.73-2.74, 1 Na 2.79
Se (0.2447, 0.3295, 0.7440) (multiplicity 8)  5 Sc 2.75-2.77, 1 Na 2.82

Entry 11:
An optimized crystal structure of Dy2Te2O. Source: Alexandria, functional GGA-PBE.

Calculated values
Formation energy from raw total energies (eV/atom): -2.101
Fermi-level density of states (states/eV per atom): 0.062
Distance to the lowest polymorph of the same formula (eV/atom): 0.0000
Magnetization (μB/f.u.): 0.0

Cell: 13.4139 3.9577 11.3429 Å, 90.00 123.94 90.00°
Closest atoms and distances in Å follow each position.
Space group C2/m (No. 12)
Asymmetric unit:
Dy (0.0292, 0.0000, 0.1732) (multiplicity 4)  1 O 2.30
Dy (0.1865, 0.0000, 0.5718) (multiplicity 4)  3 O 2.29-2.30
Te (0.0294, 0.5000, 0.6678) (multiplicity 4)  4 Dy 3.06-3.30
Te (0.1636, 0.5000, 0.0897) (multiplicity 4)  5 Dy 3.16-3.30
O (0.2120, 0.0000, 0.3878) (multiplicity 4)  4 Dy 2.29-2.30